No. 1
Compound: LiHgOF2
Source: Alexandria
Functional: PBE
Structure: relaxed

Summary:
Relative energy among the computed polymorphs (eV per formula unit): 0.59
E_form (uncorrected) (meV per atom): -1035
Space group: P4/mmm, No. 123

a = 4.577 Å, b = 4.577 Å, c = 4.101 Å
α = 90.00°, β = 90.00°, γ = 90.00°
Last column: magnetic moment on the atom in μB.
Sites, in units of the cell vectors:
F1 0.500 0.000 0.000  -0.01
O1 0.000 0.000 0.500  -0.28
Li1 0.500 0.500 0.500  0.00
Hg1 0.000 0.000 0.000  -0.05
F2 0.000 0.500 0.000  -0.01

=====

No. 2
Compound: LiHgO2F
Source: Alexandria
Functional: PBE
Structure: relaxed

Summary:
E_form (uncorrected) (meV per atom): -453
Space group: P4/mmm, No. 123

a = 4.129 Å, b = 4.129 Å, c = 4.735 Å
α = 90.00°, β = 90.00°, γ = 90.00°
Last column: magnetic moment on the atom in μB.
Sites, in units of the cell vectors:
O1 0.000 0.500 0.000  -0.29
O2 0.500 0.000 0.000  -0.29
Hg1 0.000 0.000 0.000  -0.01
F1 0.000 0.000 0.500  0.00
Li1 0.500 0.500 0.500  0.00

=====

No. 3
Compound: LiHgOF2
Source: Alexandria
Functional: PBE
Structure: relaxed

Summary:
Relative energy among the computed polymorphs (eV per formula unit): 0.00
E_form (uncorrected) (meV per atom): -1152
Space group: P4/mmm, No. 123

a = 3.682 Å, b = 3.682 Å, c = 4.143 Å
α = 90.00°, β = 90.00°, γ = 90.00°
Last column: magnetic moment on the atom in μB.
Sites, in units of the cell vectors:
O1 0.000 0.000 0.500  0.72
F1 0.000 0.500 0.000  0.08
Hg1 0.500 0.500 0.500  -0.01
F2 0.500 0.000 0.000  0.08
Li1 0.000 0.000 0.000  0.00

=====

No. 4
Compound: LiHgO2F
Source: Alexandria
Functional: PBE
Structure: relaxed

Summary:
E_form (uncorrected) (meV per atom): -497
Space group: P4/mmm, No. 123

a = 3.841 Å, b = 3.841 Å, c = 3.778 Å
α = 90.00°, β = 90.00°, γ = 90.00°
Last column: magnetic moment on the atom in μB.
Sites, in units of the cell vectors:
Li1 0.000 0.000 0.000  0.00
Hg1 0.500 0.500 0.500  -0.02
O1 0.000 0.500 0.000  0.84
F1 0.000 0.000 0.500  0.06
O2 0.500 0.000 0.000  0.84

=====

No. 5
Compound: Li3Hg2O2F3
Source: Alexandria
Functional: PBE
Structure: relaxed

Summary:
E_form (uncorrected) (meV per atom): -1526
Space group: I4/mmm, No. 139

a = 4.381 Å, b = 4.381 Å, c = 9.214 Å
α = 103.75°, β = 103.75°, γ = 90.00°
Sites, in units of the cell vectors:
Hg1 0.750 0.250 0.500
Hg2 0.250 0.750 0.500
O1 0.207 0.207 0.414
Li1 0.099 0.099 0.199
O2 0.793 0.793 0.586
Li2 0.901 0.901 0.801
Li3 0.500 0.500 0.000
F1 0.000 0.000 0.000
F2 0.605 0.605 0.209
F3 0.395 0.395 0.791

=====

No. 6
Compound: LiHg2PbF8
Source: Alexandria
Functional: PBE
Structure: relaxed

Summary:
E_form (uncorrected) (meV per atom): -1854
Space group: P-1, No. 2

a = 3.972 Å, b = 5.511 Å, c = 8.020 Å
α = 92.92°, β = 89.49°, γ = 91.92°
Sites, in units of the cell vectors:
Pb1 0.000 0.000 0.500
F1 0.438 0.239 0.963
F2 0.012 0.667 0.311
F3 0.562 0.761 0.037
F4 0.991 0.162 0.229
F5 0.988 0.333 0.689
F6 0.009 0.838 0.771
Li1 0.000 0.000 0.000
Hg1 0.507 0.450 0.219
F7 0.500 0.775 0.536
Hg2 0.493 0.550 0.781
F8 0.500 0.225 0.464

=====

No. 7
Compound: LiHgPdF6
Source: Alexandria
Functional: PBE
Structure: relaxed

Summary:
E_form (uncorrected) (meV per atom): -1670
Space group: P4_2nm, No. 102

a = 4.925 Å, b = 4.925 Å, c = 10.396 Å
α = 90.00°, β = 90.00°, γ = 90.00°
Last column: magnetic moment on the atom in μB.
Sites, in units of the cell vectors:
F1 0.282 0.282 0.342  -0.01
Hg1 0.500 0.500 0.164  0.01
F2 0.819 0.181 0.170  0.07
F3 0.681 0.681 0.670  0.07
F4 0.707 0.707 0.984  0.09
Li1 0.000 0.000 0.007  0.00
F5 0.718 0.718 0.342  -0.01
F6 0.293 0.293 0.984  0.09
Pd1 0.000 0.000 0.336  0.66
F7 0.218 0.782 0.842  -0.01
Li2 0.500 0.500 0.507  0.00
Pd2 0.500 0.500 0.836  0.66
F8 0.207 0.793 0.484  0.09
F9 0.782 0.218 0.842  -0.01
F10 0.319 0.319 0.670  0.07
Hg2 0.000 0.000 0.664  0.01
F11 0.793 0.207 0.484  0.09
F12 0.181 0.819 0.170  0.07

=====

No. 8
Compound: LiHgPd2F8
Source: Alexandria
Functional: PBE
Structure: relaxed

Summary:
E_form (uncorrected) (meV per atom): -1544
Space group: P-1, No. 2

a = 4.843 Å, b = 4.896 Å, c = 7.218 Å
α = 86.31°, β = 86.65°, γ = 86.67°
Last column: magnetic moment on the atom in μB.
Sites, in units of the cell vectors:
F1 0.204 0.803 0.231  0.01
Pd1 0.508 0.508 0.236  0.37
F2 0.673 0.675 0.532  0.04
Li1 0.000 0.000 0.000  0.00
F3 0.698 0.700 0.019  0.05
Hg1 0.000 0.000 0.500  0.00
F4 0.805 0.207 0.230  0.01
F5 0.302 0.300 0.981  0.05
F6 0.195 0.793 0.770  0.01
Pd2 0.492 0.492 0.764  0.37
F7 0.796 0.197 0.769  0.01
F8 0.327 0.325 0.468  0.04

=====

No. 9
Compound: Li2PmHgF8
Source: Alexandria
Functional: PBE
Structure: relaxed

Summary:
E_form (uncorrected) (meV per atom): -2671
Space group: P-1, No. 2

a = 3.951 Å, b = 5.165 Å, c = 7.871 Å
α = 86.50°, β = 89.83°, γ = 84.67°
Last column: magnetic moment on the atom in μB.
Sites, in units of the cell vectors:
F1 0.394 0.267 0.981  0.17
F2 0.545 0.760 0.564  0.02
Li1 0.441 0.457 0.217  0.00
F3 0.455 0.240 0.436  0.02
Li2 0.559 0.543 0.783  0.00
F4 0.606 0.733 0.019  0.17
Pm1 0.000 0.000 0.500  0.00
F5 0.085 0.761 0.785  0.16
F6 0.915 0.239 0.215  0.16
Hg1 0.000 0.000 0.000  0.27
F7 0.111 0.735 0.278  0.04
F8 0.889 0.265 0.722  0.04

=====

No. 10
Compound: LiHgPt2F
Source: Alexandria
Functional: PBE
Structure: relaxed

Summary:
E_form (uncorrected) (meV per atom): 390
Space group: P4/mmm, No. 123

a = 4.239 Å, b = 4.796 Å, c = 4.239 Å
α = 90.00°, β = 90.00°, γ = 90.00°
Sites, in units of the cell vectors:
Pt1 0.000 0.000 0.500
Li1 0.000 0.000 0.000
Pt2 0.500 0.000 0.000
Hg1 0.000 0.500 0.000
F1 0.500 0.500 0.500

=====

No. 11
Compound: LiHgPtF6
Source: Alexandria
Functional: PBE
Structure: relaxed

Summary:
E_form (uncorrected) (meV per atom): -1642
Space group: P-31c, No. 163

a = 5.393 Å, b = 5.393 Å, c = 10.681 Å
α = 90.00°, β = 90.00°, γ = 120.00°
Sites, in units of the cell vectors:
F1 0.649 0.637 0.146
F2 0.351 0.988 0.646
F3 0.012 0.649 0.854
Li1 0.667 0.333 0.750
Hg1 0.000 0.000 0.500
F4 0.988 0.637 0.354
F5 0.363 0.351 0.354
F6 0.351 0.363 0.854
Li2 0.333 0.667 0.250
F7 0.363 0.012 0.146
F8 0.012 0.363 0.646
F9 0.988 0.351 0.146
Hg2 0.000 0.000 0.000
Pt1 0.333 0.667 0.750
F10 0.637 0.649 0.646
F11 0.649 0.012 0.354
F12 0.637 0.988 0.854
Pt2 0.667 0.333 0.250

=====

No. 12
Compound: Rb2Li2HgF6
Source: Alexandria
Functional: PBE
Structure: relaxed

Summary:
E_form (uncorrected) (meV per atom): -2418
Space group: C2/m, No. 12

a = 6.129 Å, b = 6.128 Å, c = 6.665 Å
α = 112.83°, β = 90.00°, γ = 120.00°
Sites, in units of the cell vectors:
F1 0.718 0.926 0.215
Li1 0.933 0.866 0.743
F2 0.792 0.074 0.785
F3 0.255 0.509 0.367
F4 0.745 0.491 0.633
F5 0.208 0.926 0.215
Li2 0.067 0.134 0.257
Rb1 0.290 0.580 0.828
Rb2 0.710 0.420 0.172
Hg1 0.500 0.000 0.500
F6 0.282 0.074 0.785

=====

No. 13
Compound: Rb2Li3HgF8
Source: Alexandria
Functional: PBE
Structure: relaxed

Summary:
E_form (uncorrected) (meV per atom): -2295
Space group: R3m, No. 160

a = 6.435 Å, b = 6.435 Å, c = 7.575 Å
α = 64.87°, β = 64.87°, γ = 60.00°
Last column: magnetic moment on the atom in μB.
Sites, in units of the cell vectors:
F1 0.737 0.737 0.191  0.14
Hg1 0.952 0.952 0.143  0.18
F2 0.203 0.689 0.905  0.07
F3 0.334 0.737 0.191  0.14
F4 0.737 0.334 0.191  0.14
F5 0.259 0.259 0.224  0.01
Li1 0.456 0.456 0.070  0.00
Li2 0.018 0.456 0.070  0.00
F6 0.839 0.839 0.483  0.23
Li3 0.456 0.018 0.070  0.00
F7 0.203 0.203 0.905  0.07
Rb1 0.129 0.129 0.612  0.00
F8 0.689 0.203 0.905  0.07
Rb2 0.481 0.481 0.558  0.00

=====

No. 14
Compound: RbLi4Hg3F12
Source: Alexandria
Functional: PBE
Structure: relaxed

Summary:
E_form (uncorrected) (meV per atom): -2117
Space group: Im-3, No. 204

a = 6.912 Å, b = 6.912 Å, c = 6.912 Å
α = 109.47°, β = 109.47°, γ = 109.47°
Last column: magnetic moment on the atom in μB.
Sites, in units of the cell vectors:
F1 0.893 0.695 0.198  0.07
F2 0.695 0.802 0.496  0.07
Li1 0.000 0.500 0.000  0.00
F3 0.504 0.305 0.198  0.07
F4 0.695 0.198 0.893  0.07
Li2 0.500 0.500 0.500  0.00
F5 0.802 0.107 0.305  0.07
Rb1 0.000 0.000 0.000  0.00
F6 0.305 0.198 0.504  0.07
Hg1 0.500 0.000 0.500  0.11
F7 0.198 0.893 0.695  0.07
F8 0.198 0.504 0.305  0.07
F9 0.107 0.305 0.802  0.07
F10 0.802 0.496 0.695  0.07
Hg2 0.500 0.500 0.000  0.11
F11 0.305 0.802 0.107  0.07
Hg3 0.000 0.500 0.500  0.11
Li3 0.000 0.000 0.500  0.00
F12 0.496 0.695 0.802  0.07
Li4 0.500 0.000 0.000  0.00

=====

No. 15
Compound: Rb2LiHg3F12
Source: Alexandria
Functional: PBE
Structure: relaxed

Summary:
E_form (uncorrected) (meV per atom): -1706
Space group: R-3m, No. 166

a = 7.561 Å, b = 7.561 Å, c = 7.561 Å
α = 65.38°, β = 65.38°, γ = 65.38°
Sites, in units of the cell vectors:
F1 0.931 0.304 0.931
F2 0.343 0.343 0.940
F3 0.696 0.069 0.069
Rb1 0.355 0.355 0.355
F4 0.931 0.931 0.304
F5 0.657 0.060 0.657
F6 0.060 0.657 0.657
F7 0.657 0.657 0.060
Hg1 0.000 0.500 0.000
F8 0.069 0.069 0.696
Hg2 0.500 0.000 0.000
F9 0.343 0.940 0.343
F10 0.304 0.931 0.931
Hg3 0.000 0.000 0.500
F11 0.940 0.343 0.343
Li1 0.000 0.000 0.000
F12 0.069 0.696 0.069
Rb2 0.645 0.645 0.645

=====

No. 16
Compound: RbLi3Hg4F12
Source: Alexandria
Functional: PBE
Structure: relaxed

Summary:
E_form (uncorrected) (meV per atom): -1975
Space group: Im-3, No. 204

a = 7.341 Å, b = 7.341 Å, c = 7.341 Å
α = 109.47°, β = 109.47°, γ = 109.47°
Sites, in units of the cell vectors:
F1 0.161 0.488 0.327
F2 0.835 0.673 0.161
F3 0.488 0.327 0.161
F4 0.673 0.161 0.835
F5 0.165 0.327 0.839
F6 0.161 0.835 0.673
Hg1 0.500 0.000 0.000
Rb1 0.000 0.000 0.000
F7 0.673 0.839 0.512
Hg2 0.000 0.000 0.500
F8 0.512 0.673 0.839
F9 0.839 0.512 0.673
Hg3 0.000 0.500 0.000
Li1 0.000 0.500 0.500
F10 0.327 0.161 0.488
Li2 0.500 0.500 0.000
F11 0.839 0.165 0.327
F12 0.327 0.839 0.165
Li3 0.500 0.000 0.500
Hg4 0.500 0.500 0.500

=====

No. 17
Compound: Rb2LiHgF6
Source: Alexandria
Functional: PBE
Structure: relaxed

Summary:
E_form (uncorrected) (meV per atom): -2179
Space group: Fm-3m, No. 225

a = 6.122 Å, b = 6.122 Å, c = 6.122 Å
α = 60.00°, β = 60.00°, γ = 90.00°
Last column: magnetic moment on the atom in μB.
Sites, in units of the cell vectors:
F1 0.257 0.257 0.486  0.12
F2 0.257 0.257 0.000  0.12
F3 0.743 0.743 0.514  0.12
Rb1 0.250 0.750 0.500  0.00
F4 0.257 0.743 0.000  0.12
Li1 0.500 0.500 0.000  0.00
F5 0.743 0.743 0.000  0.12
Hg1 0.000 0.000 0.000  0.25
F6 0.743 0.257 0.000  0.12
Rb2 0.750 0.250 0.500  0.00

=====

No. 18
Compound: Rb3LiHg2F8
Source: Alexandria
Functional: PBE
Structure: relaxed

Summary:
E_form (uncorrected) (meV per atom): -2143
Space group: P-3m1, No. 164

a = 6.115 Å, b = 6.115 Å, c = 8.336 Å
α = 90.00°, β = 90.00°, γ = 120.00°
Sites, in units of the cell vectors:
F1 0.333 0.667 0.938
F2 0.685 0.842 0.341
F3 0.158 0.315 0.341
Li1 0.000 0.000 0.500
F4 0.315 0.158 0.659
Rb1 0.667 0.333 0.385
F5 0.158 0.842 0.341
F6 0.842 0.685 0.659
Rb2 0.000 0.000 0.000
Hg1 0.667 0.333 0.807
Hg2 0.333 0.667 0.193
F7 0.842 0.158 0.659
F8 0.667 0.333 0.062
Rb3 0.333 0.667 0.615

=====

No. 19
Compound: Rb2LiHgF
Source: Alexandria
Functional: PBE
Structure: relaxed

Summary:
E_form (uncorrected) (meV per atom): -1053
Space group: P4/mmm, No. 123

a = 6.684 Å, b = 6.684 Å, c = 3.827 Å
α = 90.00°, β = 90.00°, γ = 90.00°
Sites, in units of the cell vectors:
Li1 0.000 0.000 0.500
F1 0.000 0.000 0.000
Rb1 0.500 0.000 0.000
Rb2 0.000 0.500 0.000
Hg1 0.500 0.500 0.500

=====

No. 20
Compound: Rb3Li2HgF8
Source: Alexandria
Functional: PBE
Structure: relaxed

Summary:
E_form (uncorrected) (meV per atom): -2325
Space group: P-3m1, No. 164

a = 6.108 Å, b = 6.108 Å, c = 7.913 Å
α = 90.00°, β = 90.00°, γ = 120.00°
Last column: magnetic moment on the atom in μB.
Sites, in units of the cell vectors:
Li1 0.333 0.667 0.229  0.00
Rb1 0.667 0.333 0.333  0.00
F1 0.169 0.338 0.326  0.08
F2 0.338 0.169 0.674  0.08
F3 0.831 0.662 0.674  0.08
F4 0.662 0.831 0.326  0.08
F5 0.831 0.169 0.674  0.08
F6 0.333 0.667 0.002  0.18
F7 0.169 0.831 0.326  0.08
Hg1 0.000 0.000 0.500  0.19
Rb2 0.000 0.000 0.000  0.00
Li2 0.667 0.333 0.771  0.00
Rb3 0.333 0.667 0.667  0.00
F8 0.667 0.333 0.998  0.18

=====

M_tot, respectively: 0.083 0.142 0.200 0.402 0.000 0.000 0.111 0.086 0.091 0.000 0.000 0.000 0.078 0.060 0.029 0.000 0.100 0.000 0.000 0.079 μB/atom.